Record 1
Nd8GaIr3Br4: optimized geometry, GGA-PBE.

Cell: 14.603 8.435 9.138 Å, 90.00 122.23 90.00°
Space group C2/m (No. 12)
Symmetry-distinct sites (fractional):
Nd 0.021 0.240 0.302 (multiplicity 8)
Nd 0.233 0.000 0.699 (multiplicity 4)
Nd 0.240 0.500 0.698 (multiplicity 4)
Ga 0.000 0.500 0.500 (multiplicity 2)
Ir 0.000 0.000 0.500 (multiplicity 2)
Ir 0.250 0.250 0.500 (multiplicity 4)
Br 0.000 0.000 0.000 (multiplicity 2)
Br 0.000 0.500 0.000 (multiplicity 2)
Br 0.250 0.250 0.000 (multiplicity 4)

Crystal system = monoclinic
Electronic total energy = -5.672 eV per atom
ΔE_f (raw) = -1.019 eV per atom
Spin magnetization = 0.0 μB/f.u.

---

Record 2
Nd6GaIr2Br3: optimized geometry, GGA-PBE.

Cell: 7.306 12.668 8.111 Å, 90.00 107.49 90.00°
Space group C2/m (No. 12)
Symmetry-distinct sites (fractional):
Nd 0.216 0.000 0.201 (multiplicity 4)
Nd 0.242 0.325 0.201 (multiplicity 8)
Ga 0.000 0.500 0.000 (multiplicity 2)
Ir 0.000 0.167 0.000 (multiplicity 4)
Br 0.000 0.000 0.500 (multiplicity 2)
Br 0.000 0.336 0.500 (multiplicity 4)

Crystal system = monoclinic
Electronic total energy = -5.540 eV per atom
ΔE_f (raw) = -1.009 eV per atom
Spin magnetization = 0.0 μB/f.u.

---

Record 3
Ga2IrPbBr: optimized geometry, GGA-PBE.

Cell: 4.877 4.877 5.340 Å, 90.00 90.00 90.00°
Space group P4/mmm (No. 123)
Symmetry-distinct sites (fractional):
Ga 0.000 0.500 0.000 (multiplicity 2)
Ir 0.000 0.000 0.000 (multiplicity 1)
Pb 0.000 0.000 0.500 (multiplicity 1)
Br 0.500 0.500 0.500 (multiplicity 1)

Crystal system = tetragonal
Electronic total energy = -4.465 eV per atom
ΔE_f (raw) = -0.406 eV per atom
Spin magnetization = 0.0 μB/f.u.

---

Record 4
Pm8Ga3IrBr4: optimized geometry, GGA-PBE.

Cell: 14.734 8.488 8.831 Å, 90.00 123.82 90.00°
Space group C2/m (No. 12)
Symmetry-distinct sites (fractional):
Pm 0.009 0.239 0.287 (multiplicity 8)
Pm 0.230 0.000 0.713 (multiplicity 4)
Pm 0.244 0.500 0.732 (multiplicity 4)
Ga 0.000 0.500 0.500 (multiplicity 2)
Ga 0.250 0.250 0.500 (multiplicity 4)
Ir 0.000 0.000 0.500 (multiplicity 2)
Br 0.000 0.000 0.000 (multiplicity 2)
Br 0.000 0.500 0.000 (multiplicity 2)
Br 0.250 0.250 0.000 (multiplicity 4)

Crystal system = monoclinic
Electronic total energy = -4.833 eV per atom
ΔE_f (raw) = -0.918 eV per atom
Spin magnetization = 0.0 μB/f.u.

---

Record 5
Pm8GaIr3Br4: optimized geometry, GGA-PBE.

Cell: 14.497 8.374 9.080 Å, 90.00 122.20 90.00°
Space group C2/m (No. 12)
Symmetry-distinct sites (fractional):
Pm 0.021 0.240 0.302 (multiplicity 8)
Pm 0.233 0.000 0.699 (multiplicity 4)
Pm 0.240 0.500 0.698 (multiplicity 4)
Ga 0.000 0.500 0.500 (multiplicity 2)
Ir 0.000 0.000 0.500 (multiplicity 2)
Ir 0.250 0.250 0.500 (multiplicity 4)
Br 0.000 0.000 0.000 (multiplicity 2)
Br 0.000 0.500 0.000 (multiplicity 2)
Br 0.250 0.250 0.000 (multiplicity 4)

Crystal system = monoclinic
Electronic total energy = -5.671 eV per atom
ΔE_f (raw) = -1.027 eV per atom
Spin magnetization = 0.0 μB/f.u.

---

Record 6
Pm4GaIrBr2: optimized geometry, GGA-PBE.

Cell: 7.536 4.094 7.991 Å, 90.00 108.06 90.00°
Space group P2/m (No. 10)
Symmetry-distinct sites (fractional):
Pm 0.230 0.000 0.200 (multiplicity 2)
Pm 0.236 0.500 0.793 (multiplicity 2)
Ga 0.500 0.000 0.000 (multiplicity 1)
Ir 0.000 0.500 0.000 (multiplicity 1)
Br 0.000 0.000 0.500 (multiplicity 1)
Br 0.500 0.500 0.500 (multiplicity 1)

Crystal system = monoclinic
Electronic total energy = -5.249 eV per atom
ΔE_f (raw) = -0.969 eV per atom
Spin magnetization = 0.0 μB/f.u.

---

Record 7
Pr8Ga3IrBr4: optimized geometry, GGA-PBE.

Cell: 14.970 8.620 8.957 Å, 90.00 123.91 90.00°
Space group C2/m (No. 12)
Symmetry-distinct sites (fractional):
Pr 0.009 0.239 0.287 (multiplicity 8)
Pr 0.231 0.000 0.714 (multiplicity 4)
Pr 0.245 0.500 0.734 (multiplicity 4)
Ga 0.000 0.500 0.500 (multiplicity 2)
Ga 0.250 0.250 0.500 (multiplicity 4)
Ir 0.000 0.000 0.500 (multiplicity 2)
Br 0.000 0.000 0.000 (multiplicity 2)
Br 0.000 0.500 0.000 (multiplicity 2)
Br 0.250 0.250 0.000 (multiplicity 4)

Crystal system = monoclinic
Electronic total energy = -4.853 eV per atom
ΔE_f (raw) = -0.923 eV per atom
Spin magnetization = 0.0 μB/f.u.

---

Record 8
Pr4GaIrBr2: optimized geometry, GGA-PBE.

Cell: 7.639 4.164 8.073 Å, 90.00 107.81 90.00°
Space group P2/m (No. 10)
Symmetry-distinct sites (fractional):
Pr 0.230 0.000 0.201 (multiplicity 2)
Pr 0.238 0.500 0.793 (multiplicity 2)
Ga 0.500 0.000 0.000 (multiplicity 1)
Ir 0.000 0.500 0.000 (multiplicity 1)
Br 0.000 0.000 0.500 (multiplicity 1)
Br 0.500 0.500 0.500 (multiplicity 1)

Crystal system = monoclinic
Electronic total energy = -5.259 eV per atom
ΔE_f (raw) = -0.965 eV per atom
Spin magnetization = 0.0 μB/f.u.

---

Record 9
Pr6GaIr2Br3: optimized geometry, GGA-PBE.

Cell: 7.360 12.764 8.165 Å, 90.00 107.53 90.00°
Space group C2/m (No. 12)
Symmetry-distinct sites (fractional):
Pr 0.217 0.000 0.202 (multiplicity 4)
Pr 0.242 0.325 0.202 (multiplicity 8)
Ga 0.000 0.500 0.000 (multiplicity 2)
Ir 0.000 0.167 0.000 (multiplicity 4)
Br 0.000 0.000 0.500 (multiplicity 2)
Br 0.000 0.336 0.500 (multiplicity 4)

Crystal system = monoclinic
Electronic total energy = -5.541 eV per atom
ΔE_f (raw) = -1.004 eV per atom
Spin magnetization = 0.0 μB/f.u.

---

Record 10
Rb2GaIrBr6: optimized geometry, GGA-PBE.

Cell: 7.709 7.709 10.891 Å, 90.00 90.00 90.00°
Space group I4/mmm (No. 139)
Symmetry-distinct sites (fractional):
Rb 0.000 0.500 0.250 (multiplicity 4)
Ga 0.000 0.000 0.000 (multiplicity 2)
Ir 0.000 0.000 0.500 (multiplicity 2)
Br 0.000 0.000 0.268 (multiplicity 4)
Br 0.232 0.232 0.500 (multiplicity 8)

Crystal system = tetragonal
Electronic total energy = -3.294 eV per atom
ΔE_f (raw) = -0.908 eV per atom
Spin magnetization = 0.0 μB/f.u.

---

Record 11
Ga2IrSBr: optimized geometry, GGA-PBE.

Cell: 5.441 5.441 4.691 Å, 90.00 90.00 90.00°
Space group P4/mmm (No. 123)
Symmetry-distinct sites (fractional):
Ga 0.000 0.500 0.000 (multiplicity 2)
Ir 0.000 0.000 0.500 (multiplicity 1)
S 0.500 0.500 0.500 (multiplicity 1)
Br 0.500 0.500 0.000 (multiplicity 1)

Crystal system = tetragonal
Electronic total energy = -2.770 eV per atom
ΔE_f (raw) = 1.373 eV per atom
Spin magnetization = 2.1 μB/f.u.

---

Record 12
Ga2SiIrBr: optimized geometry, GGA-PBE.

Cell: 5.280 5.280 4.675 Å, 90.00 90.00 90.00°
Space group P4/mmm (No. 123)
Symmetry-distinct sites (fractional):
Ga 0.000 0.500 0.000 (multiplicity 2)
Si 0.000 0.000 0.500 (multiplicity 1)
Ir 0.500 0.500 0.500 (multiplicity 1)
Br 0.500 0.500 0.000 (multiplicity 1)

Crystal system = tetragonal
Electronic total energy = -3.058 eV per atom
ΔE_f (raw) = 1.344 eV per atom
Spin magnetization = 0.0 μB/f.u.

---

Copy entry 12 word for word.
Ga2SiIrBr: optimized geometry, GGA-PBE.

Cell: 5.280 5.280 4.675 Å, 90.00 90.00 90.00°
Space group P4/mmm (No. 123)
Symmetry-distinct sites (fractional):
Ga 0.000 0.500 0.000 (multiplicity 2)
Si 0.000 0.000 0.500 (multiplicity 1)
Ir 0.500 0.500 0.500 (multiplicity 1)
Br 0.500 0.500 0.000 (multiplicity 1)

Crystal system = tetragonal
Electronic total energy = -3.058 eV per atom
ΔE_f (raw) = 1.344 eV per atom
Spin magnetization = 0.0 μB/f.u.

---

Q: spin magnetization of number 3 (Ga2IrPbBr)?
A: 0.0 μB/f.u.

---

Q: What is the electronic total energy in the fourth record?
A: -4.833 eV per atom

---

Q: Among the records above, which one has the lowest ΔE_f (raw)?
A: Pm8GaIr3Br4